DFT (PBE) results for Ag2GeCF after structural relaxation.

Cell and atoms, written as POSCAR:
```
Ag2GeCF
1.0
5.093 0.000 0.000
0.000 3.608 0.000
0.000 0.000 5.093
Ge F Ag C
1 1 2 1
Direct
0.000 0.000 0.000 Ge
0.500 0.500 0.500 F
0.000 0.000 0.500 Ag
0.500 0.000 0.000 Ag
0.000 0.500 0.000 C
```

Results
Calculated density, g/cm³: 5.7
Energy relative to the elements, uncorrected, eV per atom: 0.7338
SG: P4/mmm
Size of the total moment, Bohr magnetons per cell: 0.0